A plane-wave DFT calculation with PBE-GGA was carried out for a geometry-optimized Dy4SiCS2 structure.

a = 5.515 Å, b = 5.515 Å, c = 11.149 Å
α = 90.00°, β = 90.00°, γ = 90.00°
Space group I-4m2 (No. 119)
One atom of each set of equivalent atoms:
Dy (0.000, 0.000, 0.225)
Dy (0.000, 0.500, 0.000)
Si (0.000, 0.500, 0.250)
C (0.000, 0.000, 0.000)
S (0.000, 0.000, 0.500)
S (0.000, 0.500, 0.750)

Results
Mass density (g cm⁻³): 7.4
Crystal system: tetragonal
Uncorrected energy (eV per atom): -6.403

A plane-wave DFT calculation with PBE-GGA was carried out for a geometry-optimized SmDyCS structure.

a = 3.843 Å, b = 3.843 Å, c = 5.357 Å
α = 90.00°, β = 90.00°, γ = 90.00°
Space group P4/mmm (No. 123)
One atom of each set of equivalent atoms:
Sm (0.000, 0.000, 0.000)
Dy (0.500, 0.500, 0.500)
C (0.000, 0.000, 0.500)
S (0.500, 0.500, 0.000)

Results
Mass density (g cm⁻³): 7.5
Crystal system: tetragonal
Uncorrected energy (eV per atom): -6.689

A plane-wave DFT calculation with PBE-GGA was carried out for a geometry-optimized TbDyCS structure.

a = 3.7299 Å, b = 3.7299 Å, c = 19.1187 Å
α = 90.00°, β = 90.00°, γ = 120.00°
Space group R3m (No. 160, hexagonal axes)
One atom of each set of equivalent atoms:
Tb (0.0000, 0.0000, 0.0000)
Dy (0.0000, 0.0000, 0.4750)
C (0.0000, 0.0000, 0.7377)
S (0.0000, 0.0000, 0.2368)

Results
Mass density (g cm⁻³): 7.9
Crystal system: trigonal
Uncorrected energy (eV per atom): -6.920

A plane-wave DFT calculation with PBE-GGA was carried out for a geometry-optimized Dy6TeC2S3 structure.

a = 17.012 Å, b = 3.835 Å, c = 7.984 Å
α = 90.00°, β = 102.06°, γ = 90.00°
Space group C2/m (No. 12)
One atom of each set of equivalent atoms:
Dy (0.024, 0.000, 0.286)
Dy (0.177, 0.500, 0.567)
Dy (0.179, 0.500, 0.134)
Te (0.000, 0.500, 0.000)
C (0.171, 0.000, 0.341)
S (0.000, 0.500, 0.500)
S (0.161, 0.000, 0.836)

Results
Mass density (g cm⁻³): 8.0
Crystal system: monoclinic
Uncorrected energy (eV per atom): -6.496

A plane-wave DFT calculation with PBE-GGA was carried out for a geometry-optimized Dy4TeCS2 structure.

a = 6.758 Å, b = 3.901 Å, c = 7.172 Å
α = 90.00°, β = 109.53°, γ = 90.00°
Space group P2/m (No. 10)
One atom of each set of equivalent atoms:
Dy (0.229, 0.000, 0.211)
Dy (0.243, 0.500, 0.801)
Te (0.000, 0.000, 0.500)
C (0.000, 0.500, 0.000)
S (0.500, 0.000, 0.000)
S (0.500, 0.500, 0.500)

Results
Mass density (g cm⁻³): 8.0
Crystal system: monoclinic
Uncorrected energy (eV per atom): -6.263

A plane-wave DFT calculation with PBE-GGA was carried out for a geometry-optimized Dy8Te4C3S structure.

a = 7.8122 Å, b = 7.8122 Å, c = 20.9179 Å
α = 90.00°, β = 90.00°, γ = 120.00°
Space group R-3m (No. 166, hexagonal axes)
One atom of each set of equivalent atoms:
Dy (0.0000, 0.0000, 0.2306)
Dy (0.0215, 0.5108, 0.7689)
Te (0.0000, 0.0000, 0.0000)
Te (0.0000, 0.5000, 0.0000)
C (0.0000, 0.5000, 0.5000)
S (0.0000, 0.0000, 0.5000)

Results
Mass density (g cm⁻³): 8.5
Crystal system: trigonal
Uncorrected energy (eV per atom): -6.161

A plane-wave DFT calculation with PBE-GGA was carried out for a geometry-optimized Dy6Te3CS2 structure.

a = 6.940 Å, b = 12.005 Å, c = 7.327 Å
α = 90.00°, β = 108.31°, γ = 90.00°
Space group C2/m (No. 12)
One atom of each set of equivalent atoms:
Dy (0.219, 0.154, 0.197)
Dy (0.239, 0.000, 0.798)
Te (0.000, 0.174, 0.500)
Te (0.000, 0.500, 0.500)
C (0.000, 0.000, 0.000)
S (0.000, 0.334, 0.000)

Results
Mass density (g cm⁻³): 8.2
Crystal system: monoclinic
Uncorrected energy (eV per atom): -5.983

A plane-wave DFT calculation with PBE-GGA was carried out for a geometry-optimized Dy6TeC3S2 structure.

a = 17.094 Å, b = 3.765 Å, c = 7.884 Å
α = 90.00°, β = 106.97°, γ = 90.00°
Space group C2/m (No. 12)
One atom of each set of equivalent atoms:
Dy (0.011, 0.000, 0.214)
Dy (0.160, 0.500, 0.103)
Dy (0.181, 0.500, 0.564)
Te (0.000, 0.500, 0.500)
C (0.000, 0.500, 0.000)
C (0.168, 0.000, 0.329)
S (0.167, 0.000, 0.834)

Results
Mass density (g cm⁻³): 8.2
Crystal system: monoclinic
Uncorrected energy (eV per atom): -6.661

A plane-wave DFT calculation with PBE-GGA was carried out for a geometry-optimized Dy8Te3C3S structure.

a = 7.7107 Å, b = 7.7107 Å, c = 20.5489 Å
α = 90.00°, β = 90.00°, γ = 120.00°
Space group R-3m (No. 166, hexagonal axes)
One atom of each set of equivalent atoms:
Dy (0.0000, 0.0000, 0.2298)
Dy (0.0275, 0.5137, 0.7664)
Te (0.0000, 0.5000, 0.0000)
C (0.0000, 0.5000, 0.5000)
S (0.0000, 0.0000, 0.5000)

Results
Mass density (g cm⁻³): 8.2
Crystal system: trigonal
Uncorrected energy (eV per atom): -6.176

A plane-wave DFT calculation with PBE-GGA was carried out for a geometry-optimized Dy8Te4CS3 structure.

a = 8.0413 Å, b = 8.0413 Å, c = 20.9091 Å
α = 90.00°, β = 90.00°, γ = 120.00°
Space group R-3m (No. 166, hexagonal axes)
One atom of each set of equivalent atoms:
Dy (0.0000, 0.0000, 0.2353)
Dy (0.0260, 0.5130, 0.2323)
Te (0.0000, 0.0000, 0.0000)
Te (0.0000, 0.5000, 0.0000)
C (0.0000, 0.0000, 0.5000)
S (0.0000, 0.5000, 0.5000)

Results
Mass density (g cm⁻³): 8.2
Crystal system: trigonal
Uncorrected energy (eV per atom): -5.931

A plane-wave DFT calculation with PBE-GGA was carried out for a geometry-optimized Dy8Tl4CS3 structure.

a = 13.181 Å, b = 7.632 Å, c = 9.009 Å
α = 90.00°, β = 119.04°, γ = 90.00°
Space group C2/m (No. 12)
One atom of each set of equivalent atoms:
Dy (0.014, 0.230, 0.312)
Dy (0.216, 0.000, 0.688)
Dy (0.234, 0.500, 0.703)
Tl (0.000, 0.000, 0.000)
Tl (0.000, 0.500, 0.000)
Tl (0.250, 0.250, 0.000)
C (0.000, 0.000, 0.500)
S (0.000, 0.500, 0.500)
S (0.250, 0.250, 0.500)

Results
Mass density (g cm⁻³): 9.3
Crystal system: monoclinic
Uncorrected energy (eV per atom): -5.245

A plane-wave DFT calculation with PBE-GGA was carried out for a geometry-optimized Dy8Tl3CS3 structure.

a = 13.231 Å, b = 7.647 Å, c = 8.950 Å
α = 90.00°, β = 119.54°, γ = 90.00°
Space group C2/m (No. 12)
One atom of each set of equivalent atoms:
Dy (0.013, 0.226, 0.312)
Dy (0.214, 0.000, 0.688)
Dy (0.234, 0.500, 0.702)
Tl (0.000, 0.000, 0.000)
Tl (0.250, 0.250, 0.000)
C (0.000, 0.000, 0.500)
S (0.000, 0.500, 0.500)
S (0.250, 0.250, 0.500)

Results
Mass density (g cm⁻³): 8.5
Crystal system: monoclinic
Uncorrected energy (eV per atom): -5.346